Below is crystalline NiIrF6 at its relaxed geometry, with properties calculated at the PBE+U level.

Unit cell a=4.972 b=4.972 c=9.321 alpha=90.00 beta=90.00 gamma=120.00
Sites, in units of the cell vectors:
Ni: 0.333 0.667 0.250
Ni: 0.667 0.333 0.750
Ir: 0.000 0.000 0.000
Ir: 0.000 0.000 0.500
F: 0.010 0.326 0.123
F: 0.010 0.683 0.377
F: 0.317 0.326 0.377
F: 0.317 0.990 0.123
F: 0.326 0.010 0.623
F: 0.326 0.317 0.877
F: 0.674 0.683 0.123
F: 0.674 0.990 0.377
F: 0.683 0.010 0.877
F: 0.683 0.674 0.623
F: 0.990 0.317 0.623
F: 0.990 0.674 0.877

Output
Space group = P-31c
DFT total energy = -4.53 eV/atom
M_tot = 3.04 μB/f.u.